## KLuAlTe3 (PBE-GGA)

Data for a relaxed structure of KLuAlTe3.

Structure (CIF):
```
data_KLuAlTe3
_space_group_name_H-M_alt 'P 1'
_space_group_IT_number 1
_cell_length_a 8.001
_cell_length_b 8.001
_cell_length_c 11.410
_cell_angle_alpha 90.00
_cell_angle_beta 90.00
_cell_angle_gamma 145.15
loop_
_space_group_symop_operation_xyz
'x,y,z'
loop_
_atom_site_label
_atom_site_fract_x
_atom_site_fract_y
_atom_site_fract_z
_atom_site_occupancy
K1 0.748 0.252 0.750 1
K2 0.252 0.748 0.250 1
Lu1 0.500 0.500 0.000 1
Lu2 0.500 0.500 0.500 1
Al1 0.016 0.984 0.750 1
Al2 0.984 0.016 0.250 1
Te1 0.569 0.431 0.250 1
Te2 0.431 0.569 0.750 1
Te3 0.875 0.125 0.439 1
Te4 0.125 0.875 0.939 1
Te5 0.875 0.125 0.061 1
Te6 0.125 0.875 0.561 1
```

***

## TeMoS3Br (PBE-GGA)

Data for a relaxed structure of TeMoS3Br.

Structure (CIF):
```
data_TeMoS3Br
_space_group_name_H-M_alt 'P 1'
_space_group_IT_number 1
_cell_length_a 6.381
_cell_length_b 7.489
_cell_length_c 8.135
_cell_angle_alpha 102.22
_cell_angle_beta 112.86
_cell_angle_gamma 102.80
loop_
_space_group_symop_operation_xyz
'x,y,z'
loop_
_atom_site_label
_atom_site_fract_x
_atom_site_fract_y
_atom_site_fract_z
_atom_site_occupancy
Br1 0.136 0.756 0.401 1
Br2 0.864 0.244 0.599 1
S1 0.167 0.101 0.281 1
S2 0.867 0.714 0.886 1
S3 0.510 0.812 0.118 1
S4 0.133 0.286 0.114 1
S5 0.833 0.899 0.719 1
S6 0.490 0.188 0.882 1
Mo1 0.221 0.999 0.999 1
Mo2 0.779 0.001 0.001 1
Te1 0.685 0.279 0.229 1
Te2 0.315 0.721 0.771 1
```

Results
Offset from the most stable computed form (meV/atom): 74

***

## NiB3 (PBE-GGA)

Data for a relaxed structure of NiB3.

Structure (CIF):
```
data_NiB3
_space_group_name_H-M_alt 'P 1'
_space_group_IT_number 1
_cell_length_a 4.513
_cell_length_b 4.513
_cell_length_c 3.275
_cell_angle_alpha 90.00
_cell_angle_beta 90.00
_cell_angle_gamma 120.00
loop_
_space_group_symop_operation_xyz
'x,y,z'
loop_
_atom_site_label
_atom_site_fract_x
_atom_site_fract_y
_atom_site_fract_z
_atom_site_occupancy
Ni1 0.333 0.667 0.750 1
Ni2 0.667 0.333 0.250 1
B1 0.867 0.133 0.750 1
B2 0.133 0.265 0.250 1
B3 0.265 0.133 0.750 1
B4 0.867 0.735 0.750 1
B5 0.133 0.867 0.250 1
B6 0.735 0.867 0.250 1
```

Results
Offset from the most stable computed form (meV/atom): 0

***

| no. | E_tot (eV per atom) |
| --- | --- |
| 1 | -4.015 |
| 2 | -5.026 |
| 3 | -5.793 |